Record 1
VASP calculation (PBE) on a geometry-optimized KBaTl2As2 structure.

a b c (Å): 5.2933 5.2933 7.6927
angles (deg): 90.00 90.00 120.00
Space group P-3m1 (No. 164)
One atom of each set of equivalent atoms:
K1 0.0000 0.0000 0.0000 x1
Ba1 0.0000 0.0000 0.5000 x1
Tl1 0.3333 0.6667 0.1861 x2
As1 0.3333 0.6667 0.7551 x2

Output
**Calculated density**: 6.5 Mg/m³
**Formation energy from the elements**: -0.39 eV per atom

Record 2
VASP calculation (PBE) on a geometry-optimized Sr2SbRhN structure.

a b c (Å): 5.676 5.676 3.792
angles (deg): 90.00 90.00 90.00
Space group P4/mmm (No. 123)
One atom of each set of equivalent atoms:
Sr1 0.000 0.500 0.000 x2
Sb1 0.000 0.000 0.500 x1
Rh1 0.500 0.500 0.500 x1
N1 0.500 0.500 0.000 x1

Output
**Formation energy from raw total energies**: -0.6399 eV/atom
**Calculated density**: 5.6 Mg/m³

Record 3
VASP calculation (PBE) on a geometry-optimized DyCdIn2Hg6 structure.

a b c (Å): 9.286 13.528 9.326
angles (deg): 90.00 117.99 90.00
Space group C2/c (No. 15)
One atom of each set of equivalent atoms:
Dy1 0.000 0.239 0.250 x4
Cd1 0.000 0.018 0.750 x4
In1 0.088 0.247 0.650 x8
Hg1 0.133 0.406 0.102 x8
Hg2 0.181 0.112 0.101 x8
Hg3 0.233 0.405 0.476 x8

Output
**Calculated density**: 11.0 Mg/m³
**Formation energy from the elements**: -0.12 eV per atom

Record 4
VASP calculation (PBE) on a geometry-optimized Li5NdS4 structure.

a b c (Å): 3.993 7.182 13.622
angles (deg): 90.00 90.00 90.00
Space group Immm (No. 71)
One atom of each set of equivalent atoms:
Li1 0.000 0.000 0.000 x2
Li2 0.000 0.212 0.321 x8
Nd1 0.000 0.500 0.000 x2
S1 0.000 0.271 0.500 x4
S2 0.000 0.500 0.212 x4

Output
**Formation energy from raw total energies**: -1.4706 eV/atom
**Calculated density**: 2.6 Mg/m³

Record 5
VASP calculation (PBE) on a geometry-optimized ZnReNi structure.

a b c (Å): 8.233 3.727 5.399
angles (deg): 90.00 104.77 90.00
Space group Cm (No. 8)
One atom of each set of equivalent atoms:
Zn1 0.000 0.000 0.000 x2
Zn2 0.173 0.500 0.296 x2
Re1 0.169 0.500 0.786 x2
Re2 0.336 0.000 0.650 x2
Ni1 0.003 0.000 0.473 x2
Ni2 0.329 0.000 0.147 x2

Output
**ΔE to the lowest computed polymorph**: 28 meV per atom
**Calculated density**: 12.9 Mg/m³
**Formation energy from the elements**: 0.03 eV per atom

Record 6
VASP calculation (PBE) on a geometry-optimized SrGd2Hg structure.

a b c (Å): 3.7259 3.7259 35.4384
angles (deg): 90.00 90.00 120.00
Space group R-3m (No. 166, hexagonal axes)
One atom of each set of equivalent atoms:
Sr1 0.0000 0.0000 0.0000 x3
Gd1 0.0000 0.0000 0.1010 x6
Hg1 0.0000 0.0000 0.5000 x3

Output
**ΔE to the lowest computed polymorph**: 191 meV per atom
**Calculated density**: 7.0 Mg/m³
**Formation energy from the elements**: 0.05 eV per atom

Record 7
VASP calculation (PBE) on a geometry-optimized CsLiFeH6 structure.

a b c (Å): 7.853 5.173 5.288
angles (deg): 90.00 105.76 90.00
Space group Cm (No. 8)
One atom of each set of equivalent atoms:
Cs1 0.000 0.000 0.000 x2
Li1 0.377 0.000 0.528 x2
Fe1 0.216 0.500 0.554 x2
H1 0.052 0.500 0.328 x2
H2 0.109 0.500 0.762 x2
H3 0.181 0.216 0.611 x4
H4 0.299 0.336 0.376 x4

Output
**Uncorrected energy**: -3.56 eV/atom
**Calculated density**: 3.2 Mg/m³

Record 8
VASP calculation (PBE) on a geometry-optimized La6Al2Hg structure.

a b c (Å): 10.194 10.369 10.967
angles (deg): 90.00 90.00 90.00
Space group Immm (No. 71)
One atom of each set of equivalent atoms:
La1 0.000 0.215 0.175 x8
La2 0.181 0.228 0.500 x8
La3 0.199 0.500 0.249 x8
Al1 0.000 0.000 0.379 x4
Al2 0.135 0.000 0.000 x4
Hg1 0.000 0.500 0.000 x2
Hg2 0.000 0.500 0.500 x2

Output
**Calculated density**: 6.2 Mg/m³
**Formation energy from the elements**: -0.25 eV per atom

Record 9
VASP calculation (PBE) on a geometry-optimized HoErP structure.

a b c (Å): 3.8688 3.8688 6.2875
angles (deg): 90.00 90.00 120.00
Space group P3m1 (No. 156)
One atom of each set of equivalent atoms:
Ho1 0.0000 0.0000 0.0000 x1
Er1 0.3333 0.6667 0.5017 x1
P1 0.6667 0.3333 0.2521 x1

Output
**ΔE to the lowest computed polymorph**: 0 meV per atom
**Calculated density**: 7.4 Mg/m³
**Formation energy from the elements**: -0.97 eV per atom

Record 10
VASP calculation (PBE) on a geometry-optimized Ba2In3AgPb4 structure.

a b c (Å): 5.222 5.222 12.237
angles (deg): 90.00 90.00 90.00
Space group P-4m2 (No. 115)
One atom of each set of equivalent atoms:
Ba1 0.000 0.500 0.238 x2
In1 0.000 0.000 0.000 x1
In2 0.000 0.500 0.636 x2
Ag1 0.500 0.500 0.000 x1
Pb1 0.000 0.000 0.500 x1
Pb2 0.000 0.500 0.877 x2
Pb3 0.500 0.500 0.500 x1

Output
**Calculated density**: 7.7 Mg/m³
**Formation energy from the elements**: -0.26 eV per atom

Record 11
VASP calculation (PBE) on a geometry-optimized Cd3GaGe structure.

a b c (Å): 5.133 5.133 5.133
angles (deg): 90.00 90.00 90.00
Space group Pm-3m (No. 221)
One atom of each set of equivalent atoms:
Cd1 0.000 0.000 0.500 x3
Ga1 0.000 0.000 0.000 x1
Ge1 0.500 0.500 0.500 x1

Output
**ΔE to the lowest computed polymorph**: 101 meV per atom
**Calculated density**: 5.9 Mg/m³
**Formation energy from the elements**: 0.50 eV per atom

Record 12
VASP calculation (PBE) on a geometry-optimized TbDyEr structure.

a b c (Å): 4.265 4.265 5.936
angles (deg): 90.00 90.00 90.00
Space group P4/mmm (No. 123)
One atom of each set of equivalent atoms:
Tb1 0.000 0.000 0.000 x1
Dy1 0.000 0.000 0.500 x1
Er1 0.500 0.500 0.000 x1

Output
**ΔE to the lowest computed polymorph**: 839 meV per atom
**Calculated density**: 7.5 Mg/m³
**Formation energy from the elements**: 0.86 eV per atom

Record 13
VASP calculation (PBE) on a geometry-optimized Pm3Pr2Dy6Ho structure.

a b c (Å): 6.236 10.798 11.869
angles (deg): 90.00 100.05 90.00
Space group C2/m (No. 12)
One atom of each set of equivalent atoms:
Pm1 0.000 0.000 0.000 x2
Pm2 0.000 0.333 0.000 x4
Pr1 0.000 0.166 0.500 x4
Dy1 0.249 0.500 0.250 x4
Dy2 0.250 0.166 0.250 x8
Ho1 0.000 0.500 0.500 x2

Output
**Calculated density**: 7.8 Mg/m³
**Formation energy from the elements**: 0.01 eV per atom

Record 14
VASP calculation (PBE) on a geometry-optimized AcSm2Bi structure.

a b c (Å): 8.060 8.060 8.060
angles (deg): 90.00 90.00 90.00
Space group Fm-3m (No. 225)
One atom of each set of equivalent atoms:
Ac1 0.000 0.000 0.000 x4
Sm1 0.250 0.250 0.250 x8
Bi1 0.000 0.000 0.500 x4

Output
**ΔE to the lowest computed polymorph**: 180 meV per atom
**Calculated density**: 9.3 Mg/m³
**Formation energy from the elements**: -0.20 eV per atom

Record 15
VASP calculation (PBE) on a geometry-optimized Sm2BeGa4Cu3 structure.

a b c (Å): 4.164 4.164 10.011
angles (deg): 90.00 90.00 90.00
Space group P-4m2 (No. 115)
One atom of each set of equivalent atoms:
Sm1 0.000 0.500 0.242 x2
Be1 0.500 0.500 0.000 x1
Ga1 0.000 0.000 0.500 x1
Ga2 0.000 0.500 0.876 x2
Ga3 0.500 0.500 0.500 x1
Cu1 0.000 0.000 0.000 x1
Cu2 0.000 0.500 0.635 x2

Output
**Calculated density**: 7.5 Mg/m³
**Formation energy from the elements**: -0.42 eV per atom

Record 16
VASP calculation (PBE) on a geometry-optimized Sr2CaCl2O2 structure.

a b c (Å): 4.434 4.434 14.967
angles (deg): 90.00 90.00 90.00
Space group I4/mmm (No. 139)
One atom of each set of equivalent atoms:
Sr1 0.000 0.000 0.108 x4
Ca1 0.000 0.000 0.500 x2
Cl1 0.000 0.000 0.313 x4
O1 0.000 0.500 0.000 x4

Output
**Formation energy from raw total energies**: -2.5977 eV/atom
**Calculated density**: 3.6 Mg/m³

Record 17
VASP calculation (PBE) on a geometry-optimized TbZr2V structure.

a b c (Å): 3.1820 3.1820 31.9751
angles (deg): 90.00 90.00 120.00
Space group R-3m (No. 166, hexagonal axes)
One atom of each set of equivalent atoms:
Tb1 0.0000 0.0000 0.0000 x3
Zr1 0.0000 0.0000 0.0995 x6
V1 0.0000 0.0000 0.5000 x3

Output
**ΔE to the lowest computed polymorph**: 221 meV per atom
**Calculated density**: 7.0 Mg/m³
**Formation energy from the elements**: 0.40 eV per atom

Record 18
VASP calculation (PBE) on a geometry-optimized TaIrW2 structure.

a b c (Å): 2.8150 2.8150 28.6675
angles (deg): 90.00 90.00 120.00
Space group R3m (No. 160, hexagonal axes)
One atom of each set of equivalent atoms:
Ta1 0.0000 0.0000 0.0000 x3
Ir1 0.0000 0.0000 0.2517 x3
W1 0.0000 0.0000 0.5083 x3
W2 0.0000 0.0000 0.7556 x3

Output
**ΔE to the lowest computed polymorph**: 221 meV per atom
**Calculated density**: 18.8 Mg/m³
**Formation energy from the elements**: 0.12 eV per atom

Record 19
VASP calculation (PBE) on a geometry-optimized Al3InP structure.

a b c (Å): 5.087 5.087 5.087
angles (deg): 90.00 90.00 90.00
Space group Pm-3m (No. 221)
One atom of each set of equivalent atoms:
Al1 0.000 0.000 0.500 x3
In1 0.000 0.000 0.000 x1
P1 0.500 0.500 0.500 x1

Output
**ΔE to the lowest computed polymorph**: 714 meV per atom
**Calculated density**: 2.9 Mg/m³
**Formation energy from the elements**: 1.03 eV per atom

Record 20
VASP calculation (PBE) on a geometry-optimized ReAs2Cl structure.

a b c (Å): 8.916 3.242 6.726
angles (deg): 90.00 104.31 90.00
Space group Cm (No. 8)
One atom of each set of equivalent atoms:
Re1 0.000 0.000 0.000 x2
As1 0.289 0.000 0.980 x2
As2 0.439 0.000 0.704 x2
Cl1 0.129 0.500 0.293 x2

Output
**Formation energy from raw total energies**: 0.0552 eV/atom
**ΔE to the lowest computed polymorph**: 0 meV per atom
**Calculated density**: 6.5 Mg/m³

Record 21
VASP calculation (PBE) on a geometry-optimized LiScTeN2 structure.

a b c (Å): 3.985 3.985 4.724
angles (deg): 90.00 90.00 90.00
Space group P4/mmm (No. 123)
One atom of each set of equivalent atoms:
Li1 0.000 0.000 0.000 x1
Sc1 0.500 0.500 0.500 x1
Te1 0.000 0.000 0.500 x1
N1 0.000 0.500 0.000 x2

Output
**Formation energy from raw total energies**: 0.9464 eV/atom
**ΔE to the lowest computed polymorph**: 568 meV per atom
**Calculated density**: 4.6 Mg/m³

Record 22
VASP calculation (PBE) on a geometry-optimized SrV3Au structure.

a b c (Å): 4.502 4.502 4.502
angles (deg): 90.00 90.00 90.00
Space group Pm-3m (No. 221)
One atom of each set of equivalent atoms:
Sr1 0.000 0.000 0.000 x1
V1 0.000 0.000 0.500 x3
Au1 0.500 0.500 0.500 x1

Output
**ΔE to the lowest computed polymorph**: 1215 meV per atom
**Calculated density**: 8.0 Mg/m³
**Formation energy from the elements**: 2.30 eV per atom

Record 23
VASP calculation (PBE) on a geometry-optimized AcTmBiO6 structure.

a b c (Å): 5.7841 5.7841 5.2675
angles (deg): 90.00 90.00 120.00
Space group P312 (No. 149)
One atom of each set of equivalent atoms:
Ac1 0.0000 0.0000 0.0000 x1
Tm1 0.3333 0.6667 0.5000 x1
Bi1 0.6667 0.3333 0.5000 x1
O1 0.3646 0.0127 0.7210 x6

Output
**Formation energy from raw total energies**: -2.1805 eV/atom
**Calculated density**: 7.6 Mg/m³

Record 24
VASP calculation (PBE) on a geometry-optimized Tm2AgSn structure.

a b c (Å): 6.102 4.566 7.716
angles (deg): 90.00 109.37 90.00
Space group P2_1/m (No. 11)
One atom of each set of equivalent atoms:
Tm1 0.196 0.250 0.433 x2
Tm2 0.206 0.250 0.915 x2
Ag1 0.340 0.750 0.706 x2
Sn1 0.332 0.750 0.210 x2

Output
**Calculated density**: 9.2 Mg/m³
**Formation energy from the elements**: -0.50 eV per atom